1.
Below is a relaxed structure of LiThB4, with properties calculated at the PBE level.

Output
ΔE to the lowest computed polymorph: 0.031 eV/atom
SG: P6/mmm

Cell lengths 3.2252, 3.2252, 7.2551 Å; angles 90.00, 90.00, 120.00 degrees
With the nearest neighbours (Å) after each atom.
Fractional coordinates of all 6 atoms:
1 B 0.6667 0.3333 0.2161  3 B 1.86
2 B 0.6667 0.3333 0.7839  3 B 1.86
3 B 0.3333 0.6667 0.7839  3 B 1.86
4 B 0.3333 0.6667 0.2161  3 B 1.86
5 Th 0.0000 0.0000 0.5000  12 B 2.78
6 Li 0.0000 0.0000 0.0000  12 B 2.43

2.
Below is a relaxed structure of LiThB, with properties calculated at the PBE level.

Output
ΔE to the lowest computed polymorph: 0.000 eV/atom
SG: F-43m

Cell lengths 4.3404, 4.3404, 4.3404 Å; angles 60.00, 60.00, 60.00 degrees
With the nearest neighbours (Å) after each atom.
Fractional coordinates of all 3 atoms:
1 Li 0.2500 0.2500 0.2500  4 B 2.66
2 Th 0.7500 0.7500 0.7500  4 B 2.66
3 B 0.0000 0.0000 0.0000  4 Li 2.66, 4 Th 2.66

3.
Below is a relaxed structure of LiThB, with properties calculated at the PBE level.

Output
ΔE to the lowest computed polymorph: 0.742 eV/atom
SG: F-43m

Cell lengths 4.3857, 4.3857, 4.3857 Å; angles 60.00, 60.00, 60.00 degrees
With the nearest neighbours (Å) after each atom.
Fractional coordinates of all 3 atoms:
1 B 0.2500 0.2500 0.2500  4 Th 2.69
2 Li 0.7500 0.7500 0.7500  4 Th 2.69
3 Th 0.0000 0.0000 0.0000  4 Li 2.69, 4 B 2.69

4.
Below is a relaxed structure of LiTmB, with properties calculated at the PBE level.

Output
ΔE to the lowest computed polymorph: 0.591 eV/atom
SG: F-43m

Cell lengths 4.1949, 4.1949, 4.1949 Å; angles 60.00, 60.00, 60.00 degrees
With the nearest neighbours (Å) after each atom.
Fractional coordinates of all 3 atoms:
1 Tm 0.0000 0.0000 0.0000  4 B 2.57, 4 Li 2.57
2 Li 0.7500 0.7500 0.7500  4 Tm 2.57
3 B 0.2500 0.2500 0.2500  4 Tm 2.57

5.
Below is a relaxed structure of LiTmB4, with properties calculated at the PBE level.

Output
ΔE to the lowest computed polymorph: 0.049 eV/atom
SG: P6/mmm

Cell lengths 3.1707, 3.1707, 6.7500 Å; angles 90.00, 90.00, 120.00 degrees
With the nearest neighbours (Å) after each atom.
Fractional coordinates of all 6 atoms:
1 B 0.3333 0.6667 0.7253  3 B 1.83
2 B 0.6667 0.3333 0.2747  3 B 1.83
3 B 0.3333 0.6667 0.2747  3 B 1.83
4 B 0.6667 0.3333 0.7253  3 B 1.83
5 Tm 0.0000 0.0000 0.0000  12 B 2.61
6 Li 0.0000 0.0000 0.5000  12 B 2.38

6.
Below is a relaxed structure of LiTmB, with properties calculated at the PBE level.

Output
ΔE to the lowest computed polymorph: 0.000 eV/atom
SG: F-43m

Cell lengths 4.1719, 4.1719, 4.1719 Å; angles 60.00, 60.00, 60.00 degrees
With the nearest neighbours (Å) after each atom.
Fractional coordinates of all 3 atoms:
1 Tm 0.7500 0.7500 0.7500  4 B 2.55
2 Li 0.2500 0.2500 0.2500  4 B 2.55
3 B 0.0000 0.0000 0.0000  4 Li 2.55, 4 Tm 2.55

7.
Below is a relaxed structure of LiTmB, with properties calculated at the PBE level.

Output
ΔE to the lowest computed polymorph: 0.384 eV/atom
SG: F-43m

Cell lengths 4.0313, 4.0313, 4.0313 Å; angles 60.00, 60.00, 60.00 degrees
With the nearest neighbours (Å) after each atom.
Fractional coordinates of all 3 atoms:
1 Tm 0.7500 0.7500 0.7500  4 Li 2.47
2 Li 0.0000 0.0000 0.0000  4 Tm 2.47, 4 B 2.47
3 B 0.2500 0.2500 0.2500  4 Li 2.47

8.
Below is a relaxed structure of LiTmB4, with properties calculated at the PBE level.

Output
ΔE to the lowest computed polymorph: 0.000 eV/atom
SG: Immm

Cell lengths 4.8781, 4.8781, 4.8781 Å; angles 142.54, 113.64, 78.77 degrees
With the nearest neighbours (Å) after each atom.
Fractional coordinates of all 6 atoms:
1 B 0.5808 0.2565 0.3242  3 B 1.76-1.88
2 B 0.4192 0.7435 0.6758  3 B 1.76-1.88
3 B 0.9323 0.2565 0.6758  3 B 1.76-1.88
4 B 0.0677 0.7435 0.3242  3 B 1.76-1.88
5 Li 0.5000 0.5000 0.0000  12 B 2.52-2.66
6 Tm 0.0000 0.0000 0.0000  12 B 2.59-2.60